DFT (PBE-GGA) results for a relaxed HgAsIr2 crystal.

Properties
Crystal system: tetragonal
Excess energy over the best structure of this formula in the dataset in eV/atom: 0.4074
Total moment in μB/f.u.: 0.0
Energy relative to the elements in eV per atom: 0.64

a b c (Å): 4.877 4.877 4.877
angles (deg): 129.32 129.32 74.49
Positions (direct):
Ir1 0.000 0.000 0.000
Ir2 0.250 0.750 0.500
As1 0.500 0.500 0.000
Hg1 0.750 0.250 0.500

***

DFT (PBE-GGA) results for a relaxed Mg4PbW crystal.

Properties
Crystal system: cubic
Total moment in μB/f.u.: 2.3
Energy relative to the elements in eV per atom: 0.63

a b c (Å): 5.636 5.636 5.636
angles (deg): 60.00 60.00 60.00
Positions (direct):
W1 0.000 0.000 0.000
Mg1 0.374 0.374 0.374
Mg2 0.878 0.374 0.374
Mg3 0.374 0.374 0.878
Mg4 0.374 0.878 0.374
Pb1 0.750 0.750 0.750

***

DFT (PBE-GGA) results for a relaxed GdPaHgGe crystal.

Properties
Crystal system: cubic
Total moment in μB/f.u.: 9.3
Energy relative to the elements in eV per atom: -0.23

a b c (Å): 5.191 5.191 5.191
angles (deg): 60.00 60.00 60.00
Positions (direct):
Hg1 0.500 0.500 0.500
Ge1 0.000 0.000 0.000
Gd1 0.250 0.250 0.250
Pa1 0.750 0.750 0.750

***

DFT (PBE-GGA) results for a relaxed NaLaCu3 crystal.

Properties
Crystal system: cubic
Excess energy over the best structure of this formula in the dataset in eV/atom: 0.2389
Total moment in μB/f.u.: 0.0
Energy relative to the elements in eV per atom: 0.80

a b c (Å): 5.414 5.414 5.414
angles (deg): 90.00 90.00 90.00
Positions (direct):
Cu1 0.000 0.500 0.000
Cu2 0.000 0.000 0.500
Cu3 0.500 0.000 0.000
La1 0.000 0.000 0.000
Na1 0.500 0.500 0.500

***

DFT (PBE-GGA) results for a relaxed AlZn2Ni8 crystal.

Properties
Crystal system: monoclinic
Excess energy over the best structure of this formula in the dataset in eV/atom: 0.1107
Total moment in μB/f.u.: 0.9
Energy relative to the elements in eV per atom: -0.02

a b c (Å): 4.227 6.393 6.580
angles (deg): 60.93 75.61 59.24
Positions (direct):
Ni1 0.500 0.205 0.591
Zn1 0.000 0.306 0.388
Ni2 0.305 0.417 0.000
Ni3 0.695 0.583 0.000
Ni4 0.153 0.675 0.222
Ni5 0.847 0.103 0.222
Ni6 0.847 0.325 0.778
Al1 0.500 0.000 0.000
Zn2 0.000 0.694 0.612
Ni7 0.500 0.795 0.409
Ni8 0.153 0.897 0.778

***

DFT (PBE-GGA) results for a relaxed SrNbS2 crystal.

Properties
Crystal system: cubic
Excess energy over the best structure of this formula in the dataset in eV/atom: 0.1581
Total moment in μB/f.u.: 1.0

a b c (Å): 4.755 4.755 4.755
angles (deg): 60.00 60.00 60.00
Positions (direct):
S1 0.250 0.250 0.250
Sr1 0.000 0.000 0.000
S2 0.750 0.750 0.750
Nb1 0.500 0.500 0.500

***

DFT (PBE-GGA) results for a relaxed PmMgB12 crystal.

Properties
Crystal system: tetragonal
Total moment in μB/f.u.: 0.0
Energy relative to the elements in eV per atom: -0.23

a b c (Å): 4.114 4.114 8.255
angles (deg): 90.00 90.00 90.00
Positions (direct):
B1 0.500 0.200 0.251
B2 0.800 0.500 0.251
B3 0.500 0.500 0.600
B4 0.500 0.500 0.900
B5 0.500 0.500 0.100
B6 0.200 0.500 0.251
Pm1 0.000 0.000 0.000
B7 0.500 0.500 0.400
B8 0.500 0.800 0.749
B9 0.200 0.500 0.749
B10 0.500 0.200 0.749
Mg1 0.000 0.000 0.500
B11 0.800 0.500 0.749
B12 0.500 0.800 0.251

***

DFT (PBE-GGA) results for a relaxed La2Nd2HoCd5 crystal.

Properties
Crystal system: tetragonal
Total moment in μB/f.u.: 0.0
Energy relative to the elements in eV per atom: -0.20

a b c (Å): 4.873 10.831 10.831
angles (deg): 90.00 90.00 90.00
Positions (direct):
Cd1 0.500 0.689 0.434
Cd2 0.500 0.434 0.311
Ho1 0.000 0.500 0.500
La1 0.000 0.825 0.675
Cd3 0.500 0.000 0.500
Ho2 0.000 0.000 0.000
Nd1 0.000 0.374 0.126
Cd4 0.500 0.934 0.189
Cd5 0.500 0.566 0.689
La2 0.000 0.675 0.175
Cd6 0.500 0.189 0.066
Nd2 0.000 0.626 0.874
Nd3 0.000 0.126 0.626
Cd7 0.500 0.066 0.811
Cd8 0.500 0.811 0.934
La3 0.000 0.175 0.325
Cd9 0.500 0.311 0.566
Nd4 0.000 0.874 0.374
La4 0.000 0.325 0.825
Cd10 0.500 0.500 0.000

***

DFT (PBE-GGA) results for a relaxed HfThTcRh crystal.

Properties
Crystal system: cubic
Total moment in μB/f.u.: 0.0
Energy relative to the elements in eV per atom: -0.47

a b c (Å): 4.835 4.835 4.835
angles (deg): 60.00 60.00 60.00
Positions (direct):
Hf1 0.750 0.750 0.750
Th1 0.250 0.250 0.250
Rh1 0.000 0.000 0.000
Tc1 0.500 0.500 0.500

***

DFT (PBE-GGA) results for a relaxed NaGaTe2 crystal.

Properties
Crystal system: orthorhombic
Total moment in μB/f.u.: 0.0

a b c (Å): 6.389 3.972 19.252
angles (deg): 90.00 90.00 90.00
Positions (direct):
Te1 0.607 0.750 0.263
Te2 0.219 0.750 0.435
Te3 0.107 0.750 0.237
Na1 0.279 0.250 0.568
Na2 0.721 0.750 0.432
Ga1 0.282 0.250 0.334
Te4 0.781 0.250 0.565
Na3 0.221 0.750 0.068
Ga2 0.782 0.250 0.166
Te5 0.281 0.250 0.935
Ga3 0.218 0.750 0.834
Ga4 0.718 0.750 0.666
Te6 0.393 0.250 0.737
Te7 0.719 0.750 0.065
Na4 0.779 0.250 0.932
Te8 0.893 0.250 0.763

***

DFT (PBE-GGA) results for a relaxed Ru2SN crystal.

Properties
Crystal system: tetragonal
Excess energy over the best structure of this formula in the dataset in eV/atom: 0.0000
Total moment in μB/f.u.: 0.0

a b c (Å): 4.820 4.820 6.030
angles (deg): 66.44 66.44 90.00
Positions (direct):
N1 0.250 0.750 0.500
N2 0.500 0.500 0.000
S1 0.750 0.250 0.500
Ru1 0.566 0.125 0.250
Ru2 0.875 0.816 0.750
Ru3 0.184 0.625 0.250
Ru4 0.375 0.434 0.750
S2 0.000 0.000 0.000

***

DFT (PBE-GGA) results for a relaxed NdDy9Ho2 crystal.

Properties
Crystal system: tetragonal
Excess energy over the best structure of this formula in the dataset in eV/atom: 0.0000
Total moment in μB/f.u.: 0.0
Energy relative to the elements in eV per atom: 0.02

a b c (Å): 5.021 5.021 15.065
angles (deg): 90.00 90.00 90.00
Positions (direct):
Nd1 0.000 0.000 0.000
Ho1 0.000 0.000 0.666
Dy1 0.500 0.500 0.665
Dy2 0.500 0.000 0.831
Dy3 0.500 0.500 0.000
Dy4 0.000 0.500 0.169
Dy5 0.500 0.500 0.335
Ho2 0.000 0.000 0.334
Dy6 0.000 0.500 0.500
Dy7 0.000 0.500 0.831
Dy8 0.500 0.000 0.169
Dy9 0.500 0.000 0.500

***

DFT (PBE-GGA) results for a relaxed Na2NdBr4 crystal.

Properties
Crystal system: tetragonal
Total moment in μB/f.u.: 0.1

a b c (Å): 5.892 5.892 8.642
angles (deg): 70.07 70.07 90.00
Positions (direct):
Br1 0.500 0.000 0.000
Br2 0.189 0.189 0.622
Na1 0.375 0.375 0.249
Nd1 0.000 0.000 0.000
Br3 0.811 0.811 0.378
Na2 0.625 0.625 0.751
Br4 0.000 0.500 0.000

***

DFT (PBE-GGA) results for a relaxed CaYGa4 crystal.

Properties
Crystal system: tetragonal
Excess energy over the best structure of this formula in the dataset in eV/atom: 0.0000
Total moment in μB/f.u.: 0.0
Energy relative to the elements in eV per atom: -0.55

a b c (Å): 4.201 4.201 8.063
angles (deg): 105.10 105.10 90.00
Positions (direct):
Ga1 0.669 0.169 0.337
Ga2 0.417 0.417 0.833
Ga3 0.583 0.583 0.167
Ga4 0.831 0.331 0.663
Y1 0.250 0.750 0.500
Ca1 0.000 0.000 0.000

***

DFT (PBE-GGA) results for a relaxed Pm2P3Pd4Au crystal.

Properties
Crystal system: tetragonal
Total moment in μB/f.u.: 0.0
Energy relative to the elements in eV per atom: -0.80

a b c (Å): 4.125 4.125 10.731
angles (deg): 90.00 90.00 90.00
Positions (direct):
Pd1 0.500 0.000 0.657
Pm1 0.000 0.500 0.762
Pd2 0.000 0.000 0.000
Au1 0.500 0.500 0.500
P1 0.000 0.000 0.500
Pd3 0.000 0.500 0.343
Pm2 0.500 0.000 0.238
Pd4 0.500 0.500 0.000
P2 0.500 0.000 0.871
P3 0.000 0.500 0.129

***

DFT (PBE-GGA) results for a relaxed Pr2TmAs3Pt4 crystal.

Properties
Crystal system: tetragonal
Total moment in μB/f.u.: 0.0
Energy relative to the elements in eV per atom: -0.98

a b c (Å): 4.308 4.308 11.288
angles (deg): 90.00 90.00 90.00
Positions (direct):
Pr1 0.000 0.500 0.784
As1 0.500 0.000 0.871
Tm1 0.500 0.500 0.500
Pr2 0.500 0.000 0.216
Pt1 0.000 0.000 0.000
Pt2 0.500 0.500 0.000
As2 0.000 0.500 0.129
Pt3 0.000 0.500 0.348
As3 0.000 0.000 0.500
Pt4 0.500 0.000 0.652

***

DFT (PBE-GGA) results for a relaxed PRh2W crystal.

Properties
Crystal system: tetragonal
Total moment in μB/f.u.: 0.0
Energy relative to the elements in eV per atom: 0.07

a b c (Å): 3.787 3.787 3.947
angles (deg): 90.00 90.00 90.00
Positions (direct):
Rh1 0.000 0.500 0.000
W1 0.500 0.500 0.500
P1 0.000 0.000 0.500
Rh2 0.500 0.000 0.000

***

DFT (PBE-GGA) results for a relaxed Na3AgF6 crystal.

Properties
Crystal system: monoclinic
Total moment in μB/f.u.: 2.0

a b c (Å): 5.688 5.944 8.277
angles (deg): 90.00 89.17 90.00
Positions (direct):
Na1 0.500 0.500 0.000
Ag1 0.000 0.000 0.000
Ag2 0.500 0.500 0.500
F1 0.179 0.291 0.083
F2 0.802 0.683 0.560
Na2 0.519 0.938 0.760
Na3 0.481 0.062 0.240
Na4 0.019 0.562 0.260
F3 0.679 0.209 0.583
F4 0.865 0.927 0.236
F5 0.821 0.709 0.917
Na5 0.000 0.000 0.500
F6 0.198 0.317 0.440
F7 0.321 0.791 0.417
F8 0.635 0.427 0.264
F9 0.302 0.817 0.060
Na6 0.981 0.438 0.740
F10 0.698 0.183 0.940
F11 0.365 0.573 0.736
F12 0.135 0.073 0.764

***

DFT (PBE-GGA) results for a relaxed Tc2MoPt crystal.

Properties
Crystal system: trigonal
Excess energy over the best structure of this formula in the dataset in eV/atom: 0.1264
Total moment in μB/f.u.: 0.0
Energy relative to the elements in eV per atom: -0.04

a b c (Å): 9.332 9.332 9.332
angles (deg): 16.99 16.99 16.99
Positions (direct):
Tc1 0.997 0.997 0.997
Pt1 0.750 0.750 0.750
Mo1 0.500 0.500 0.500
Tc2 0.253 0.253 0.253

***

DFT (PBE-GGA) results for a relaxed Sr2Ca6P crystal.

Properties
Crystal system: orthorhombic
Total moment in μB/f.u.: 0.0
Energy relative to the elements in eV per atom: -0.25

a b c (Å): 8.062 8.065 11.459
angles (deg): 90.00 90.02 90.00
Positions (direct):
Ca1 0.751 0.249 0.000
Sr1 0.499 0.000 0.750
Ca2 0.749 0.749 0.500
P1 0.000 0.000 0.500
Ca3 0.249 0.249 0.000
Ca4 0.251 0.251 0.500
Sr2 0.501 0.000 0.250
Sr3 0.001 0.500 0.750
Ca5 0.749 0.251 0.500
Ca6 0.751 0.751 0.000
Ca7 0.500 0.500 0.750
Ca8 0.000 0.000 0.250
P2 0.500 0.500 0.000
Sr4 0.999 0.500 0.250
Ca9 0.000 0.000 0.750
Ca10 0.500 0.500 0.250
Ca11 0.249 0.751 0.000
Ca12 0.251 0.749 0.500

***

DFT (PBE-GGA) results for a relaxed SrBiSb2P crystal.

Properties
Crystal system: tetragonal
Total moment in μB/f.u.: 2.2

a b c (Å): 6.026 6.199 6.026
angles (deg): 90.00 90.00 90.00
Positions (direct):
Bi1 0.000 0.500 0.000
Sb1 0.000 0.000 0.500
Sr1 0.000 0.000 0.000
Sb2 0.500 0.000 0.000
P1 0.500 0.500 0.500

***

DFT (PBE-GGA) results for a relaxed PmPr5Nd2Tm crystal.

Properties
Crystal system: tetragonal
Total moment in μB/f.u.: 0.0
Energy relative to the elements in eV per atom: 0.28

a b c (Å): 8.820 8.820 10.345
angles (deg): 115.23 115.23 90.00
Positions (direct):
Pr1 0.500 0.500 0.000
Pr2 0.644 0.144 0.717
Pr3 0.144 0.073 0.717
Pr4 0.356 0.856 0.283
Pr5 0.000 0.000 0.000
Pm1 0.750 0.750 0.500
Nd1 0.619 0.119 0.000
Tm1 0.250 0.750 0.500
Nd2 0.119 0.381 0.000
Pm2 0.250 0.250 0.500
Pr6 0.073 0.573 0.717
Nd3 0.381 0.881 0.000
Nd4 0.881 0.619 0.000
Pr7 0.856 0.927 0.283
Pr8 0.427 0.356 0.283
Tm2 0.750 0.250 0.500
Pr9 0.927 0.427 0.283
Pr10 0.573 0.644 0.717

***

Summary of raw total energy in eV/atom
-5.03, -3.21, -7.36, -2.91, -4.80, -5.79, -6.41, -3.05, -9.25, -3.00, -7.73, -4.59, -3.40, -3.97, -5.78, -6.19, -8.20, -3.89, -9.44, -2.56, -2.56, -4.46
(order as listed above)